1.
# AlTe | the Alexandria database | PBE-GGA | optimized geometry
# - SG = No. 31
data_AlTe
_symmetry_space_group_name_H-M 'P 1'
_symmetry_Int_Tables_number 1
_cell_length_a 11.808
_cell_length_b 4.122
_cell_length_c 7.117
_cell_angle_alpha 90.00
_cell_angle_beta 90.00
_cell_angle_gamma 90.00
loop_
_symmetry_equiv_pos_as_xyz
'x,y,z'
loop_
_atom_site_label
_atom_site_fract_x
_atom_site_fract_y
_atom_site_fract_z
Al1 0.000 0.745 0.491
Al2 0.815 0.363 0.609
Te1 0.500 0.840 0.301
Te2 0.318 0.854 0.746
Te3 0.682 0.854 0.746
Al3 0.315 0.637 0.109
Al4 0.185 0.363 0.609
Te4 0.000 0.160 0.801
Al5 0.685 0.637 0.109
Al6 0.500 0.255 0.991
Te5 0.818 0.146 0.246
Te6 0.182 0.146 0.246

***

2.
# Al8Te | the Alexandria database | PBE-GGA | optimized geometry
# - SG = No. 139
data_Al8Te
_symmetry_space_group_name_H-M 'P 1'
_symmetry_Int_Tables_number 1
_cell_length_a 6.655
_cell_length_b 6.655
_cell_length_c 6.655
_cell_angle_alpha 95.37
_cell_angle_beta 95.37
_cell_angle_gamma 144.38
loop_
_symmetry_equiv_pos_as_xyz
'x,y,z'
loop_
_atom_site_label
_atom_site_fract_x
_atom_site_fract_y
_atom_site_fract_z
Te1 0.000 0.000 0.000
Al1 0.000 0.659 0.659
Al2 0.678 0.678 0.357
Al3 0.659 0.000 0.659
Al4 0.322 0.678 0.000
Al5 0.341 0.000 0.341
Al6 0.000 0.341 0.341
Al7 0.678 0.322 0.000
Al8 0.322 0.322 0.643

***

3.
# AlTe | the Alexandria database | PBE-GGA | optimized geometry
# - SG = No. 8
data_AlTe
_symmetry_space_group_name_H-M 'P 1'
_symmetry_Int_Tables_number 1
_cell_length_a 6.195
_cell_length_b 6.195
_cell_length_c 8.673
_cell_angle_alpha 56.57
_cell_angle_beta 56.57
_cell_angle_gamma 36.81
loop_
_symmetry_equiv_pos_as_xyz
'x,y,z'
loop_
_atom_site_label
_atom_site_fract_x
_atom_site_fract_y
_atom_site_fract_z
Te1 0.945 0.945 0.066
Te2 0.733 0.733 0.587
Al1 0.653 0.653 0.942
Te3 0.107 0.107 0.362
Al2 0.405 0.405 0.578
Al3 0.323 0.323 0.964

***

4.
# Al2Te | the Alexandria database | PBE-GGA | optimized geometry
# - energy above the most stable polymorph in this dataset (eV/atom) = 0.160
# - SG = No. 63
data_Al2Te
_symmetry_space_group_name_H-M 'P 1'
_symmetry_Int_Tables_number 1
_cell_length_a 5.937
_cell_length_b 5.937
_cell_length_c 4.277
_cell_angle_alpha 90.00
_cell_angle_beta 90.00
_cell_angle_gamma 116.75
loop_
_symmetry_equiv_pos_as_xyz
'x,y,z'
loop_
_atom_site_label
_atom_site_fract_x
_atom_site_fract_y
_atom_site_fract_z
Te1 0.234 0.234 0.750
Al1 0.835 0.441 0.750
Al2 0.441 0.835 0.750
Al3 0.165 0.559 0.250
Al4 0.559 0.165 0.250
Te2 0.766 0.766 0.250

***

5.
# Al5Te3 | the Alexandria database | PBE-GGA | optimized geometry
# - energy above the most stable polymorph in this dataset (eV/atom) = 0.000
# - SG = No. 1
data_Al5Te3
_symmetry_space_group_name_H-M 'P 1'
_symmetry_Int_Tables_number 1
_cell_length_a 8.636
_cell_length_b 8.716
_cell_length_c 8.522
_cell_angle_alpha 90.29
_cell_angle_beta 103.71
_cell_angle_gamma 139.21
loop_
_symmetry_equiv_pos_as_xyz
'x,y,z'
loop_
_atom_site_label
_atom_site_fract_x
_atom_site_fract_y
_atom_site_fract_z
Al1 0.801 0.535 0.276
Al2 0.524 0.183 0.652
Al3 0.280 0.749 0.469
Al4 0.533 0.806 0.276
Al5 0.259 0.538 0.735
Te1 0.531 0.576 0.044
Te2 0.031 0.076 0.044
Al6 0.301 0.035 0.276
Te3 0.809 0.809 0.550
Al7 0.759 0.038 0.735
Al8 0.024 0.683 0.652
Te4 0.309 0.309 0.550
Al9 0.033 0.306 0.276
Al10 0.780 0.249 0.469
Te5 0.759 0.304 0.997
Te6 0.259 0.804 0.997

***

6.
# Al2Te | the Alexandria database | PBE-GGA | optimized geometry
# - energy above the most stable polymorph in this dataset (eV/atom) = 0.281
# - SG = No. 58
data_Al2Te
_symmetry_space_group_name_H-M 'P 1'
_symmetry_Int_Tables_number 1
_cell_length_a 4.105
_cell_length_b 4.533
_cell_length_c 8.124
_cell_angle_alpha 90.00
_cell_angle_beta 90.00
_cell_angle_gamma 90.00
loop_
_symmetry_equiv_pos_as_xyz
'x,y,z'
loop_
_atom_site_label
_atom_site_fract_x
_atom_site_fract_y
_atom_site_fract_z
Al1 0.500 0.380 0.149
Te1 0.500 0.500 0.500
Al2 0.000 0.880 0.351
Te2 0.000 0.000 0.000
Al3 0.000 0.120 0.649
Al4 0.500 0.620 0.851

***

7.
# AlTe4 | the Alexandria database | PBE-GGA | optimized geometry
# - energy above the most stable polymorph in this dataset (eV/atom) = 0.138
# - SG = No. 221
data_AlTe4
_symmetry_space_group_name_H-M 'P 1'
_symmetry_Int_Tables_number 1
_cell_length_a 5.322
_cell_length_b 5.322
_cell_length_c 5.322
_cell_angle_alpha 90.00
_cell_angle_beta 90.00
_cell_angle_gamma 90.00
loop_
_symmetry_equiv_pos_as_xyz
'x,y,z'
loop_
_atom_site_label
_atom_site_fract_x
_atom_site_fract_y
_atom_site_fract_z
Te1 0.000 0.500 0.500
Te2 0.500 0.500 0.000
Al1 0.500 0.500 0.500
Te3 0.500 0.000 0.500
Te4 0.000 0.000 0.000

***

8.
# AlTe | the Alexandria database | PBE-GGA | optimized geometry
# - SG = No. 216
data_AlTe
_symmetry_space_group_name_H-M 'P 1'
_symmetry_Int_Tables_number 1
_cell_length_a 4.626
_cell_length_b 4.626
_cell_length_c 4.626
_cell_angle_alpha 60.00
_cell_angle_beta 60.00
_cell_angle_gamma 60.00
loop_
_symmetry_equiv_pos_as_xyz
'x,y,z'
loop_
_atom_site_label
_atom_site_fract_x
_atom_site_fract_y
_atom_site_fract_z
Al1 0.000 0.000 0.000
Te1 0.750 0.750 0.750

***

9.
# Al2Te | the Alexandria database | PBE-GGA | optimized geometry
# - energy above the most stable polymorph in this dataset (eV/atom) = 0.261
# - SG = No. 227
data_Al2Te
_symmetry_space_group_name_H-M 'P 1'
_symmetry_Int_Tables_number 1
_cell_length_a 5.678
_cell_length_b 5.678
_cell_length_c 5.678
_cell_angle_alpha 60.00
_cell_angle_beta 60.00
_cell_angle_gamma 60.00
loop_
_symmetry_equiv_pos_as_xyz
'x,y,z'
loop_
_atom_site_label
_atom_site_fract_x
_atom_site_fract_y
_atom_site_fract_z
Al1 0.125 0.125 0.125
Te1 0.500 0.500 0.500
Al2 0.125 0.625 0.125
Al3 0.125 0.125 0.625
Al4 0.625 0.125 0.125
Te2 0.750 0.750 0.750

***

10.
# Al2Te | the Alexandria database | PBE-GGA | optimized geometry
# - energy above the most stable polymorph in this dataset (eV/atom) = 0.038
# - SG = No. 12
data_Al2Te
_symmetry_space_group_name_H-M 'P 1'
_symmetry_Int_Tables_number 1
_cell_length_a 5.513
_cell_length_b 5.513
_cell_length_c 10.169
_cell_angle_alpha 74.90
_cell_angle_beta 74.90
_cell_angle_gamma 32.17
loop_
_symmetry_equiv_pos_as_xyz
'x,y,z'
loop_
_atom_site_label
_atom_site_fract_x
_atom_site_fract_y
_atom_site_fract_z
Al1 0.361 0.361 0.920
Al2 0.087 0.087 0.872
Al3 0.639 0.639 0.080
Al4 0.913 0.913 0.128
Te1 0.694 0.694 0.337
Te2 0.306 0.306 0.663

***

11.
# AlTe | the Alexandria database | PBE-GGA | optimized geometry
# - SG = No. 51
data_AlTe
_symmetry_space_group_name_H-M 'P 1'
_symmetry_Int_Tables_number 1
_cell_length_a 3.847
_cell_length_b 3.765
_cell_length_c 7.750
_cell_angle_alpha 90.00
_cell_angle_beta 90.00
_cell_angle_gamma 90.00
loop_
_symmetry_equiv_pos_as_xyz
'x,y,z'
loop_
_atom_site_label
_atom_site_fract_x
_atom_site_fract_y
_atom_site_fract_z
Al1 0.000 0.000 0.026
Al2 0.000 0.500 0.307
Te1 0.500 0.500 0.906
Te2 0.500 0.000 0.427

***

12.
# Al2Te | the Alexandria database | PBE-GGA | optimized geometry
# - energy above the most stable polymorph in this dataset (eV/atom) = 0.236
# - SG = No. 191
data_Al2Te
_symmetry_space_group_name_H-M 'P 1'
_symmetry_Int_Tables_number 1
_cell_length_a 4.525
_cell_length_b 4.525
_cell_length_c 4.059
_cell_angle_alpha 90.00
_cell_angle_beta 90.00
_cell_angle_gamma 120.00
loop_
_symmetry_equiv_pos_as_xyz
'x,y,z'
loop_
_atom_site_label
_atom_site_fract_x
_atom_site_fract_y
_atom_site_fract_z
Al1 0.333 0.667 0.500
Te1 0.000 0.000 0.000
Al2 0.667 0.333 0.500

***

no.,D(E_F) (states/eV/f.u.),formation energy (no corrections) (meV per atom)
1,0.4,-140
2,3.0,114
3,0.9,-44
4,1.3,125
5,2.5,40
6,0.9,247
7,3.2,300
8,1.6,73
9,1.6,226
10,0.7,3
11,0.9,-58
12,1.5,202